(1)
This record from the Alexandria database describes a relaxed structure of Mg2GePt. The functional is PBE-GGA.

Values from the calculation:
size of the total moment = 0.00 μB/f.u.
energy relative to the elements = -0.548 eV/atom

Lattice parameters (Å, degrees): 5.4179 4.3023 6.5889 90.00 108.25 90.00
Closest atoms and distances in Å follow each position.
Positions (direct):
Mg1 0.1372 0.2500 0.4228  4 Pt 2.72-2.85, 3 Ge 2.79-3.03, 2 Mg 2.97
Mg2 0.2390 0.2500 0.9188  3 Pt 2.79-2.94, 4 Ge 2.88-2.98
Mg3 0.7610 0.7500 0.0812  3 Pt 2.79-2.94, 4 Ge 2.88-2.98
Mg4 0.8628 0.7500 0.5772  4 Pt 2.72-2.85, 3 Ge 2.79-3.03, 2 Mg 2.97
Ge1 0.3280 0.7500 0.2468  3 Pt 2.60-2.75, 3 Mg 2.79-2.88
Ge2 0.6720 0.2500 0.7532  3 Pt 2.60-2.75, 3 Mg 2.79-2.88
Pt1 0.3886 0.7500 0.6775  3 Ge 2.60-2.75, 5 Mg 2.72-2.85
Pt2 0.6114 0.2500 0.3225  3 Ge 2.60-2.75, 5 Mg 2.72-2.85


(2)
This record from the Alexandria database describes a relaxed structure of Mg2GePt5. The functional is PBE-GGA.

Values from the calculation:
size of the total moment = 0.00 μB/f.u.
energy relative to the elements = -0.717 eV/atom

Lattice parameters (Å, degrees): 5.5641 10.8523 4.0876 90.00 90.00 90.00
Closest atoms and distances in Å follow each position.
Positions (direct):
Mg1 0.1852 0.1408 0.0000  10 Pt 2.73-2.88
Mg2 0.3148 0.6408 0.0000  10 Pt 2.73-2.88
Mg3 0.6852 0.3592 0.0000  10 Pt 2.73-2.88
Mg4 0.8148 0.8592 0.0000  10 Pt 2.73-2.88
Ge1 0.0000 0.5000 0.5000  8 Pt 2.60-2.78
Ge2 0.5000 0.0000 0.5000  8 Pt 2.60-2.78
Pt1 0.0000 0.0000 0.5000  4 Mg 2.75, 2 Ge 2.78, 6 Pt 2.82-2.89
Pt2 0.0564 0.7415 0.5000  1 Ge 2.64, 4 Mg 2.73-2.76, 5 Pt 2.79-2.88
Pt3 0.1985 0.3931 0.0000  2 Ge 2.60, 4 Mg 2.73-2.88, 4 Pt 2.88-2.89
Pt4 0.3015 0.8931 0.0000  2 Ge 2.60, 4 Mg 2.73-2.88, 4 Pt 2.88-2.89
Pt5 0.4436 0.2415 0.5000  1 Ge 2.64, 4 Mg 2.73-2.76, 5 Pt 2.79-2.88
Pt6 0.5000 0.5000 0.5000  4 Mg 2.75, 2 Ge 2.78, 6 Pt 2.82-2.89
Pt7 0.5564 0.7585 0.5000  1 Ge 2.64, 4 Mg 2.73-2.76, 5 Pt 2.79-2.88
Pt8 0.6985 0.1069 0.0000  2 Ge 2.60, 4 Mg 2.73-2.88, 4 Pt 2.88-2.89
Pt9 0.8015 0.6069 0.0000  2 Ge 2.60, 4 Mg 2.73-2.88, 4 Pt 2.88-2.89
Pt10 0.9436 0.2585 0.5000  1 Ge 2.64, 4 Mg 2.73-2.76, 5 Pt 2.79-2.88


(3)
This record from the Alexandria database describes a relaxed structure of MgGe2Pt. The functional is PBE-GGA.

Values from the calculation:
size of the total moment = 0.00 μB/f.u.
energy relative to the elements = -0.089 eV/atom

Lattice parameters (Å, degrees): 8.8689 8.8689 8.8689 22.14 22.14 22.14
Closest atoms and distances in Å follow each position.
Positions (direct):
Mg1 0.0000 0.0000 0.0000  2 Ge 2.69
Ge1 0.1036 0.1036 0.1036  3 Pt 2.56, 1 Mg 2.69
Ge2 0.8964 0.8964 0.8964  3 Pt 2.56, 1 Mg 2.69
Pt1 0.5000 0.5000 0.5000  6 Ge 2.56


(4)
This record from the Alexandria database describes a relaxed structure of MgGePt2. The functional is PBE-GGA.

Values from the calculation:
size of the total moment = 0.00 μB/f.u.
energy relative to the elements = -0.549 eV/atom

Lattice parameters (Å, degrees): 3.3455 3.3455 5.7394 90.00 90.00 90.00
Closest atoms and distances in Å follow each position.
Positions (direct):
Mg1 0.0000 0.0000 0.0000  8 Pt 2.78, 2 Ge 2.87
Ge1 0.0000 0.0000 0.5000  8 Pt 2.76, 2 Mg 2.87
Pt1 0.5000 0.5000 0.2531  4 Ge 2.76, 4 Mg 2.78, 2 Pt 2.83-2.91
Pt2 0.5000 0.5000 0.7469  4 Ge 2.76, 4 Mg 2.78, 2 Pt 2.83-2.91


(5)
This record from the Alexandria database describes a relaxed structure of Mg5GePt4. The functional is PBE-GGA.

Values from the calculation:
size of the total moment = 0.00 μB/f.u.
energy relative to the elements = -0.710 eV/atom

Lattice parameters (Å, degrees): 3.2624 3.2624 15.5226 90.00 90.00 90.00
Closest atoms and distances in Å follow each position.
Positions (direct):
Mg1 0.0000 0.0000 0.0000  8 Pt 2.75, 2 Mg 3.01
Mg2 0.0000 0.0000 0.1937  8 Pt 2.75-2.78, 2 Mg 3.00-3.01
Mg3 0.0000 0.0000 0.3868  4 Pt 2.73, 4 Ge 2.90, 1 Mg 3.00
Mg4 0.0000 0.0000 0.6132  4 Pt 2.73, 4 Ge 2.90, 1 Mg 3.00
Mg5 0.0000 0.0000 0.8063  8 Pt 2.75-2.78, 2 Mg 3.00-3.01
Ge1 0.5000 0.5000 0.5000  8 Mg 2.90, 2 Pt 3.21
Pt1 0.5000 0.5000 0.0969  8 Mg 2.75, 2 Pt 3.01-3.05
Pt2 0.5000 0.5000 0.2932  8 Mg 2.73-2.78, 1 Pt 3.05
Pt3 0.5000 0.5000 0.7068  8 Mg 2.73-2.78, 1 Pt 3.05
Pt4 0.5000 0.5000 0.9031  8 Mg 2.75, 2 Pt 3.01-3.05


(6)
This record from the Alexandria database describes a relaxed structure of MgGePt2. The functional is PBE-GGA.

Values from the calculation:
size of the total moment = 0.00 μB/f.u.
energy relative to the elements = -0.569 eV/atom

Lattice parameters (Å, degrees): 4.1220 4.1220 3.6978 90.00 90.00 90.00
Closest atoms and distances in Å follow each position.
Positions (direct):
Mg1 0.0000 0.0000 0.0000  8 Pt 2.77, 4 Ge 2.91
Ge1 0.5000 0.5000 0.0000  8 Pt 2.77, 4 Mg 2.91
Pt1 0.0000 0.5000 0.5000  4 Ge 2.77, 4 Mg 2.77, 4 Pt 2.91
Pt2 0.5000 0.0000 0.5000  4 Ge 2.77, 4 Mg 2.77, 4 Pt 2.91


(7)
This record from the Alexandria database describes a relaxed structure of MgGePt3. The functional is PBE-GGA.

Values from the calculation:
size of the total moment = 0.00 μB/f.u.
energy relative to the elements = -0.468 eV/atom

Lattice parameters (Å, degrees): 5.5328 5.5372 7.9947 70.03 69.78 60.03
Closest atoms and distances in Å follow each position.
Positions (direct):
Mg1 0.0000 0.0000 0.0000  9 Pt 2.97-3.03, 3 Ge 3.24-3.28
Mg2 0.2550 0.2551 0.2339  9 Pt 2.89-3.21
Ge1 0.6387 0.6324 0.0905  6 Pt 2.44-2.48
Ge2 0.7972 0.8005 0.6065  6 Pt 2.45-2.48
Pt1 0.0702 0.5397 0.8489  2 Ge 2.44-2.46, 2 Pt 2.61
Pt2 0.2176 0.7177 0.3481  2 Ge 2.48, 2 Pt 2.75-2.76
Pt3 0.5405 0.0669 0.8526  2 Ge 2.45, 2 Pt 2.61
Pt4 0.5420 0.5399 0.8484  2 Ge 2.44-2.46, 2 Pt 2.61
Pt5 0.7149 0.2195 0.3493  2 Ge 2.47-2.48, 2 Pt 2.76
Pt6 0.7148 0.7173 0.3493  2 Ge 2.48, 2 Pt 2.75-2.76


(8)
This record from the Alexandria database describes a relaxed structure of MgGePt3. The functional is PBE-GGA.

Values from the calculation:
size of the total moment = 0.00 μB/f.u.
energy relative to the elements = 0.745 eV/atom

Lattice parameters (Å, degrees): 4.6588 4.6588 4.6588 90.00 90.00 90.00
Closest atoms and distances in Å follow each position.
Positions (direct):
Mg1 0.0000 0.0000 0.0000  6 Pt 2.33
Ge1 0.5000 0.5000 0.5000  12 Pt 3.29
Pt1 0.0000 0.0000 0.5000  2 Mg 2.33
Pt2 0.0000 0.5000 0.0000  2 Mg 2.33
Pt3 0.5000 0.0000 0.0000  2 Mg 2.33


(9)
This record from the Alexandria database describes a relaxed structure of Mg2GePt2. The functional is PBE-GGA.

Values from the calculation:
size of the total moment = 0.00 μB/f.u.
energy relative to the elements = -0.262 eV/atom

Lattice parameters (Å, degrees): 6.7405 6.7405 6.7405 146.09 146.09 48.71
Closest atoms and distances in Å follow each position.
Positions (direct):
Mg1 0.2500 0.7500 0.5000  4 Pt 2.64, 4 Mg 2.78
Mg2 0.7500 0.2500 0.5000  4 Pt 2.64, 4 Mg 2.78
Ge1 0.0000 0.0000 0.0000  8 Pt 3.07
Pt1 0.3933 0.3933 0.0000  1 Pt 2.62, 4 Mg 2.64
Pt2 0.6067 0.6067 0.0000  1 Pt 2.62, 4 Mg 2.64


(10)
This record from the Alexandria database describes a relaxed structure of MgGePt4. The functional is PBE-GGA.

Values from the calculation:
size of the total moment = 0.00 μB/f.u.
energy relative to the elements = -0.388 eV/atom

Lattice parameters (Å, degrees): 7.7036 7.7036 5.2112 96.05 96.05 40.50
Closest atoms and distances in Å follow each position.
Positions (direct):
Mg1 0.1123 0.8877 0.7500  8 Pt 2.67-2.95, 2 Mg 2.87
Mg2 0.8877 0.1123 0.2500  8 Pt 2.67-2.95, 2 Mg 2.87
Ge1 0.0000 0.5000 0.0000  6 Pt 2.40-2.62
Ge2 0.5000 0.0000 0.5000  6 Pt 2.40-2.62
Pt1 0.0379 0.2863 0.5520  2 Ge 2.40-2.62, 1 Mg 2.67
Pt2 0.2863 0.0379 0.0520  2 Ge 2.40-2.62, 1 Mg 2.67
Pt3 0.3182 0.5144 0.0800  1 Ge 2.53, 1 Mg 2.70, 4 Pt 2.76-2.82
Pt4 0.4856 0.6818 0.4200  1 Ge 2.53, 1 Mg 2.70, 4 Pt 2.76-2.82
Pt5 0.5144 0.3182 0.5800  1 Ge 2.53, 1 Mg 2.70, 4 Pt 2.76-2.82
Pt6 0.6818 0.4856 0.9200  1 Ge 2.53, 1 Mg 2.70, 4 Pt 2.76-2.82
Pt7 0.7137 0.9621 0.9480  2 Ge 2.40-2.62, 1 Mg 2.67
Pt8 0.9621 0.7137 0.4480  2 Ge 2.40-2.62, 1 Mg 2.67


(11)
This record from the Alexandria database describes a relaxed structure of MgGePt. The functional is PBE-GGA.

Values from the calculation:
size of the total moment = 0.00 μB/f.u.
energy relative to the elements = -0.538 eV/atom

Lattice parameters (Å, degrees): 4.3877 4.3877 3.0408 90.00 90.00 120.00
Closest atoms and distances in Å follow each position.
Positions (direct):
Mg1 0.0000 0.0000 0.0000  6 Ge 2.95, 6 Pt 2.95, 2 Mg 3.04
Ge1 0.3333 0.6667 0.5000  3 Pt 2.53
Pt1 0.6667 0.3333 0.5000  3 Ge 2.53


(12)
This record from the Alexandria database describes a relaxed structure of Mg2GePt9. The functional is PBE-GGA.

Values from the calculation:
size of the total moment = 0.00 μB/f.u.
energy relative to the elements = -0.503 eV/atom

Lattice parameters (Å, degrees): 3.9544 3.9544 11.9441 90.00 90.00 90.00
Closest atoms and distances in Å follow each position.
Positions (direct):
Mg1 0.0000 0.0000 0.1651  12 Pt 2.79-2.81
Mg2 0.0000 0.0000 0.8349  12 Pt 2.79-2.81
Ge1 0.0000 0.0000 0.5000  12 Pt 2.80-2.81
Pt1 0.0000 0.5000 0.0000  4 Mg 2.79, 8 Pt 2.80-2.81
Pt2 0.0000 0.5000 0.3327  8 Pt 2.80-2.81, 2 Ge 2.81, 2 Mg 2.81
Pt3 0.0000 0.5000 0.6673  8 Pt 2.80-2.81, 2 Ge 2.81, 2 Mg 2.81
Pt4 0.5000 0.0000 0.0000  4 Mg 2.79, 8 Pt 2.80-2.81
Pt5 0.5000 0.0000 0.3327  8 Pt 2.80-2.81, 2 Ge 2.81, 2 Mg 2.81
Pt6 0.5000 0.0000 0.6673  8 Pt 2.80-2.81, 2 Ge 2.81, 2 Mg 2.81
Pt7 0.5000 0.5000 0.1667  4 Mg 2.80, 8 Pt 2.80-2.81
Pt8 0.5000 0.5000 0.5000  4 Ge 2.80, 8 Pt 2.81
Pt9 0.5000 0.5000 0.8333  4 Mg 2.80, 8 Pt 2.80-2.81


The highest energy relative to the elements belongs to which entry? number 8


Number 6 is which compound? MgGePt2